Entry from Alexandria via LeMat-Bulk: a PBEsol-optimized structure of Rb3SF (SCAN).

```
Rb3SF
1.0
5.263 0.000 0.000
0.000 5.263 0.000
0.000 0.000 5.263
Rb S F
3 1 1
Cartesian
0.000 0.000 2.632
0.000 2.632 0.000
2.632 0.000 0.000
2.632 2.632 2.632
0.000 0.000 0.000
```

Summary:
Crystal system: cubic
Space group: Pm-3m
E in eV/atom: -16.892
Magnetization in μB/f.u.: 0.00

---

Entry from Alexandria via LeMat-Bulk: a PBEsol-optimized structure of RbSbF2 (SCAN).

```
RbSbF2
1.0
1.802 1.040 7.738
-1.802 1.040 7.738
0.000 -2.081 7.738
Rb Sb F
1 1 2
Cartesian
0.000 0.000 0.000
0.000 0.000 11.607
0.000 0.000 9.426
0.000 0.000 13.788
```

Summary:
Crystal system: trigonal
Space group: R-3m
E in eV/atom: -18.308
Magnetization in μB/f.u.: 0.00

---

Number 1: formation energy without anion corrections -1.81 eV per atom. Number 2: formation energy without anion corrections -2.04 eV per atom.